VASP calculation (GGA-PBE) on crystalline CaPdBr2 at its relaxed geometry.

It has space group R-3m (No. 166, hexagonal axes), with a = 4.3871 Å, b = 4.3871 Å, c = 23.3963 Å, α = 90.00°, β = 90.00° and γ = 120.00°. The inequivalent atoms are Ca at (0.0000, 0.0000, 0.0000), Pd at (0.0000, 0.0000, 0.5000) and Br at (0.0000, 0.0000, 0.3959).

The volume is 130.0 Å³/f.u. The energy above the lowest structure with this stoichiometry is 0 meV/atom. The uncorrected formation energy is -0.986 eV/atom. Its total magnetization is 0.000 μB/atom.